Entry 1:
Material: LiAuSeN2
Method: DFT, PBE
State: relaxed

## Properties
For the relative energy among the computed polymorphs, the calculation gives 0 meV/atom. For the uncorrected formation energy, the calculation gives 1291 meV per atom.

abc: 3.8802 3.8802 5.2513
angles: 90.00 90.00 90.00
Last column: nearest neighbours and their distance in Å.
Fractional positions:
Li 0.0000 0.0000 0.0000  4 Au 2.74
Au 0.5000 0.5000 0.0000  2 Se 2.63, 4 Li 2.74
Se 0.5000 0.5000 0.5000  4 N 1.94
N 0.0000 0.5000 0.5000  2 Se 1.94
N 0.5000 0.0000 0.5000  2 Se 1.94

Entry 2:
Material: Sm6HoEr5
Method: DFT, PBE
State: relaxed

## Properties
As for the energy of formation: 1.72 kJ per mole of atoms.

abc: 9.4380 9.4380 9.4380
angles: 148.93 115.79 73.05
Last column: nearest neighbours and their distance in Å.
Fractional positions:
Sm 0.0831 0.3333 0.7498  7 Er 3.56, 1 Ho 3.56, 4 Sm 3.57-3.58
Sm 0.2497 0.0000 0.2497  6 Er 3.56, 2 Ho 3.56, 4 Sm 3.58
Sm 0.4166 0.6667 0.7498  7 Er 3.56, 1 Ho 3.56, 4 Sm 3.57-3.58
Sm 0.5834 0.3333 0.2502  7 Er 3.56, 1 Ho 3.56, 4 Sm 3.57-3.58
Sm 0.7503 0.0000 0.7503  6 Er 3.56, 2 Ho 3.56, 4 Sm 3.58
Sm 0.9169 0.6667 0.2502  7 Er 3.56, 1 Ho 3.56, 4 Sm 3.57-3.58
Ho 0.5000 0.5000 0.0000  8 Sm 3.56, 4 Er 3.58
Er 0.0000 0.5000 0.5000  8 Sm 3.56, 4 Er 3.58
Er 0.1667 0.1667 0.0000  8 Sm 3.56, 4 Er 3.57-3.58
Er 0.3333 0.8333 0.5000  8 Sm 3.56, 2 Er 3.57, 2 Ho 3.58
Er 0.6667 0.1667 0.5000  8 Sm 3.56, 2 Er 3.57, 2 Ho 3.58
Er 0.8333 0.8333 0.0000  8 Sm 3.56, 4 Er 3.57-3.58

Entry 3:
Material: CaCu4O6
Method: DFT, PBE
State: relaxed

## Properties
For the uncorrected formation energy, the calculation gives -903 meV per atom.

abc: 5.2034 5.2034 14.6784
angles: 90.00 90.00 145.19
Last column: nearest neighbours and their distance in Å.
Fractional positions:
Ca 0.1702 0.8298 0.7500  6 O 2.27-2.43
Ca 0.8298 0.1702 0.2500  6 O 2.27-2.43
Cu 0.0826 0.9174 0.1319  4 O 1.91-2.10
Cu 0.0826 0.9174 0.3681  4 O 1.91-2.10
Cu 0.3586 0.6414 0.0405  2 O 1.86-1.91
Cu 0.3586 0.6414 0.4595  2 O 1.86-1.91
Cu 0.6414 0.3586 0.5405  2 O 1.86-1.91
Cu 0.6414 0.3586 0.9595  2 O 1.86-1.91
Cu 0.9174 0.0826 0.6319  4 O 1.91-2.10
Cu 0.9174 0.0826 0.8681  4 O 1.91-2.10
O 0.0000 0.0000 0.0000  6 Cu 2.10-2.18
O 0.0000 0.0000 0.5000  6 Cu 2.10-2.18
O 0.1636 0.8364 0.2500  2 Cu 1.91
O 0.2855 0.7145 0.5802  1 Cu 1.91
O 0.2855 0.7145 0.9198  1 Cu 1.91
O 0.4484 0.5516 0.1515  3 Cu 1.86-2.07
O 0.4484 0.5516 0.3485  3 Cu 1.86-2.07
O 0.5516 0.4484 0.6515  3 Cu 1.86-2.07
O 0.5516 0.4484 0.8485  3 Cu 1.86-2.07
O 0.7145 0.2855 0.0802  1 Cu 1.91
O 0.7145 0.2855 0.4198  1 Cu 1.91
O 0.8364 0.1636 0.7500  2 Cu 1.91

Entry 4:
Material: Zr2Tl2PdS6
Method: DFT, PBE
State: relaxed

## Properties
For the uncorrected formation energy, the calculation gives -933 meV per atom.

abc: 6.3901 6.3901 7.9231
angles: 97.44 97.44 119.57
Last column: nearest neighbours and their distance in Å.
Fractional positions:
Zr 0.1754 0.8246 0.0000  6 S 2.55-2.63
Zr 0.8246 0.1754 0.0000  6 S 2.55-2.63
Tl 0.3368 0.6632 0.5000  6 S 3.12-3.25
Tl 0.6632 0.3368 0.5000  6 S 3.12-3.25
Pd 0.5000 0.5000 0.0000  6 S 2.41-2.68
S 0.0849 0.4227 0.7998  2 Zr 2.55-2.59, 1 Pd 2.68
S 0.2401 0.2401 0.1720  1 Pd 2.41, 2 Zr 2.63
S 0.4227 0.0849 0.7998  2 Zr 2.55-2.59, 1 Pd 2.68
S 0.5773 0.9151 0.2002  2 Zr 2.55-2.59, 1 Pd 2.68
S 0.7599 0.7599 0.8280  1 Pd 2.41, 2 Zr 2.63
S 0.9151 0.5773 0.2002  2 Zr 2.55-2.59, 1 Pd 2.68

Entry 5:
Material: AlCu6Sn
Method: DFT, PBE
State: relaxed

## Properties
As for the energy of formation: -5.11 kJ per mole of atoms. For the relative energy among the computed polymorphs, the calculation gives 6 meV/atom.

abc: 6.5589 6.5589 10.6834
angles: 90.00 90.00 109.43
Last column: nearest neighbours and their distance in Å.
Fractional positions:
Al 0.0000 0.0000 0.2442  12 Cu 2.61-2.73
Al 0.0000 0.0000 0.7558  12 Cu 2.61-2.73
Al 0.2506 0.7494 0.0000  12 Cu 2.58-2.68
Al 0.7494 0.2506 0.0000  12 Cu 2.58-2.68
Cu 0.0000 0.0000 0.0000  4 Al 2.61-2.68, 8 Cu 2.63
Cu 0.0000 0.0000 0.5000  8 Cu 2.66, 2 Sn 2.70, 2 Al 2.73
Cu 0.1162 0.3721 0.1195  8 Cu 2.55-2.74, 3 Al 2.60-2.66, 1 Sn 2.73
Cu 0.1162 0.3721 0.8805  8 Cu 2.55-2.74, 3 Al 2.60-2.66, 1 Sn 2.73
Cu 0.1201 0.3648 0.3681  1 Al 2.62, 8 Cu 2.62-2.82, 3 Sn 2.69-2.76
Cu 0.1201 0.3648 0.6319  1 Al 2.62, 8 Cu 2.62-2.82, 3 Sn 2.69-2.76
Cu 0.2436 0.7564 0.2419  8 Cu 2.58-2.77, 2 Al 2.58-2.61, 2 Sn 2.75-2.76
Cu 0.2436 0.7564 0.7581  8 Cu 2.58-2.77, 2 Al 2.58-2.61, 2 Sn 2.75-2.76
Cu 0.3648 0.1201 0.3681  1 Al 2.62, 8 Cu 2.62-2.82, 3 Sn 2.69-2.76
Cu 0.3648 0.1201 0.6319  1 Al 2.62, 8 Cu 2.62-2.82, 3 Sn 2.69-2.76
Cu 0.3721 0.1162 0.1195  8 Cu 2.55-2.74, 3 Al 2.60-2.66, 1 Sn 2.73
Cu 0.3721 0.1162 0.8805  8 Cu 2.55-2.74, 3 Al 2.60-2.66, 1 Sn 2.73
Cu 0.5000 0.5000 0.0000  2 Sn 2.63, 2 Al 2.67, 8 Cu 2.70
Cu 0.5000 0.5000 0.5000  4 Sn 2.66-2.72, 8 Cu 2.74
Cu 0.6279 0.8838 0.1195  8 Cu 2.55-2.74, 3 Al 2.60-2.66, 1 Sn 2.73
Cu 0.6279 0.8838 0.8805  8 Cu 2.55-2.74, 3 Al 2.60-2.66, 1 Sn 2.73
Cu 0.6352 0.8799 0.3681  1 Al 2.62, 8 Cu 2.62-2.82, 3 Sn 2.69-2.76
Cu 0.6352 0.8799 0.6319  1 Al 2.62, 8 Cu 2.62-2.82, 3 Sn 2.69-2.76
Cu 0.7564 0.2436 0.2419  8 Cu 2.58-2.77, 2 Al 2.58-2.61, 2 Sn 2.75-2.76
Cu 0.7564 0.2436 0.7581  8 Cu 2.58-2.77, 2 Al 2.58-2.61, 2 Sn 2.75-2.76
Cu 0.8799 0.6352 0.3681  1 Al 2.62, 8 Cu 2.62-2.82, 3 Sn 2.69-2.76
Cu 0.8799 0.6352 0.6319  1 Al 2.62, 8 Cu 2.62-2.82, 3 Sn 2.69-2.76
Cu 0.8838 0.6279 0.1195  8 Cu 2.55-2.74, 3 Al 2.60-2.66, 1 Sn 2.73
Cu 0.8838 0.6279 0.8805  8 Cu 2.55-2.74, 3 Al 2.60-2.66, 1 Sn 2.73
Sn 0.2519 0.7481 0.5000  12 Cu 2.66-2.76
Sn 0.5000 0.5000 0.2458  12 Cu 2.63-2.75
Sn 0.5000 0.5000 0.7542  12 Cu 2.63-2.75
Sn 0.7481 0.2519 0.5000  12 Cu 2.66-2.76

Entry 6:
Material: SmMnS
Method: DFT, PBE
State: relaxed

## Properties
For the uncorrected formation energy, the calculation gives -592 meV per atom.

abc: 11.3463 11.3463 11.3463
angles: 19.86 19.86 19.86
Last column: nearest neighbours and their distance in Å.
Fractional positions:
Sm 0.0715 0.0715 0.0715  3 S 2.66
Sm 0.9285 0.9285 0.9285  3 S 2.66
Mn 0.3310 0.3310 0.3310  3 Mn 2.26
Mn 0.6690 0.6690 0.6690  3 Mn 2.26
S 0.2200 0.2200 0.2200  3 Sm 2.66
S 0.7800 0.7800 0.7800  3 Sm 2.66

Entry 7:
Material: Sc10Ga3Bi3
Method: DFT, PBE
State: relaxed

## Properties
As for the energy of formation: -55.34 kJ per mole of atoms.

abc: 8.3294 8.3294 6.0840
angles: 90.00 90.00 120.00
Last column: nearest neighbours and their distance in Å.
Fractional positions:
Sc 0.0000 0.2320 0.0000  3 Bi 2.90-3.06
Sc 0.0000 0.7630 0.5000  3 Ga 2.84-3.10
Sc 0.2320 0.0000 0.0000  3 Bi 2.90-3.06
Sc 0.2370 0.2370 0.5000  3 Ga 2.84-3.10
Sc 0.3333 0.6667 0.2666  1 Sc 2.84, 3 Ga 2.94, 3 Bi 3.02
Sc 0.3333 0.6667 0.7334  1 Sc 2.84, 3 Ga 2.94, 3 Bi 3.02
Sc 0.6667 0.3333 0.2666  1 Sc 2.84, 3 Ga 2.94, 3 Bi 3.02
Sc 0.6667 0.3333 0.7334  1 Sc 2.84, 3 Ga 2.94, 3 Bi 3.02
Sc 0.7630 0.0000 0.5000  3 Ga 2.84-3.10
Sc 0.7680 0.7680 0.0000  3 Bi 2.90-3.06
Ga 0.0000 0.3907 0.5000  7 Sc 2.84-3.10
Ga 0.3907 0.0000 0.5000  7 Sc 2.84-3.10
Ga 0.6093 0.6093 0.5000  7 Sc 2.84-3.10
Bi 0.0000 0.5996 0.0000  7 Sc 2.90-3.06
Bi 0.4004 0.4004 0.0000  7 Sc 2.90-3.06
Bi 0.5996 0.0000 0.0000  7 Sc 2.90-3.06

Entry 8:
Material: AcPmRh2
Method: DFT, PBE
State: relaxed

## Properties
As for the energy of formation: -53.52 kJ per mole of atoms. For the relative energy among the computed polymorphs, the calculation gives 125 meV/atom.

abc: 7.1247 7.1247 7.1247
angles: 34.28 34.28 34.28
Last column: nearest neighbours and their distance in Å.
Fractional positions:
Ac 0.0000 0.0000 0.0000  6 Rh 3.01
Pm 0.5000 0.5000 0.5000  6 Rh 2.88
Rh 0.2442 0.2442 0.2442  3 Pm 2.88, 3 Ac 3.01
Rh 0.7558 0.7558 0.7558  3 Pm 2.88, 3 Ac 3.01

Entry 9:
Material: VTcNiW
Method: DFT, PBE
State: relaxed

## Properties
As for the energy of formation: 3.65 kJ per mole of atoms.

abc: 4.2890 4.2890 4.2890
angles: 60.00 60.00 60.00
Last column: nearest neighbours and their distance in Å.
Fractional positions:
V 0.0000 0.0000 0.0000  4 Tc 2.63, 4 Ni 2.63
Tc 0.7500 0.7500 0.7500  4 W 2.63, 4 V 2.63
Ni 0.2500 0.2500 0.2500  4 W 2.63, 4 V 2.63
W 0.5000 0.5000 0.5000  4 Ni 2.63, 4 Tc 2.63

Entry 10:
Material: La2Tb2H
Method: DFT, PBE
State: relaxed

abc: 5.1429 5.1429 5.1249
angles: 90.00 90.00 90.00
Last column: nearest neighbours and their distance in Å.
Fractional positions:
La 0.0000 0.0000 0.0000  2 H 2.56
La 0.5000 0.5000 0.0000  8 Tb 3.63, 4 La 3.64
Tb 0.0000 0.5000 0.5000  2 H 2.57
Tb 0.5000 0.0000 0.5000  2 H 2.57
H 0.0000 0.0000 0.5000  2 La 2.56, 4 Tb 2.57

Entry 11:
Material: HfHg3Mo
Method: DFT, PBE
State: relaxed

## Properties
As for the energy of formation: 127.61 kJ per mole of atoms. For the relative energy among the computed polymorphs, the calculation gives 0 meV/atom.

abc: 5.1339 5.1339 5.1339
angles: 90.00 90.00 90.00
Last column: nearest neighbours and their distance in Å.
Fractional positions:
Hf 0.0000 0.0000 0.0000  12 Hg 3.63
Hg 0.0000 0.5000 0.5000  2 Mo 2.57
Hg 0.5000 0.0000 0.5000  2 Mo 2.57
Hg 0.5000 0.5000 0.0000  2 Mo 2.57
Mo 0.5000 0.5000 0.5000  6 Hg 2.57

Entry 12:
Material: Cs2LiPrBr6
Method: DFT, PBE
State: relaxed

## Properties
For the relative energy among the computed polymorphs, the calculation gives 0 meV/atom. For the uncorrected formation energy, the calculation gives -1810 meV per atom.

abc: 8.0577 8.0577 8.0577
angles: 60.00 60.00 60.00
Last column: nearest neighbours and their distance in Å.
Fractional positions:
Cs 0.2500 0.2500 0.2500  12 Br 4.03
Cs 0.7500 0.7500 0.7500  12 Br 4.03
Li 0.0000 0.0000 0.0000  6 Br 2.79
Pr 0.5000 0.5000 0.5000  6 Br 2.91
Br 0.2446 0.2446 0.7554  1 Li 2.79, 1 Pr 2.91
Br 0.2446 0.7554 0.2446  1 Li 2.79, 1 Pr 2.91
Br 0.2446 0.7554 0.7554  1 Li 2.79, 1 Pr 2.91
Br 0.7554 0.2446 0.2446  1 Li 2.79, 1 Pr 2.91
Br 0.7554 0.2446 0.7554  1 Li 2.79, 1 Pr 2.91
Br 0.7554 0.7554 0.2446  1 Li 2.79, 1 Pr 2.91

Entry 13:
Material: TbMgAgTe3
Method: DFT, PBE
State: relaxed

## Properties
For the uncorrected formation energy, the calculation gives -857 meV per atom.

abc: 8.4687 4.2199 9.5900
angles: 90.00 103.03 90.00
Last column: nearest neighbours and their distance in Å.
Fractional positions:
Tb 0.1892 0.2500 0.2461  7 Te 3.14-3.47
Tb 0.8108 0.7500 0.7539  7 Te 3.14-3.47
Mg 0.3339 0.7500 0.8319  6 Te 2.92-3.07
Mg 0.6661 0.2500 0.1681  6 Te 2.92-3.07
Ag 0.0867 0.2500 0.5824  4 Te 2.80-3.02, 2 Ag 2.84
Ag 0.9133 0.7500 0.4176  4 Te 2.80-3.02, 2 Ag 2.84
Te 0.0861 0.2500 0.8743  1 Ag 2.80, 2 Mg 3.07
Te 0.2795 0.7500 0.5054  3 Ag 2.86-3.02, 1 Mg 3.06
Te 0.4144 0.7500 0.1442  3 Mg 2.92-2.97, 2 Tb 3.14
Te 0.5856 0.2500 0.8558  3 Mg 2.92-2.97, 2 Tb 3.14
Te 0.7205 0.2500 0.4946  3 Ag 2.86-3.02, 1 Mg 3.06
Te 0.9139 0.7500 0.1257  1 Ag 2.80, 2 Mg 3.07

Entry 14:
Material: Np4UN5
Method: DFT, PBE
State: relaxed

## Properties
For the uncorrected formation energy, the calculation gives -1156 meV per atom.

abc: 5.9550 5.9550 5.9550
angles: 99.62 99.62 131.74
Last column: nearest neighbours and their distance in Å.
Fractional positions:
Np 0.0990 0.6999 0.7989  6 N 2.43-2.45
Np 0.3001 0.0990 0.3991  6 N 2.43-2.45
Np 0.6999 0.9010 0.6009  6 N 2.43-2.45
Np 0.9010 0.3001 0.2011  6 N 2.43-2.45
U 0.5000 0.5000 0.0000  6 N 2.41-2.43
N 0.0000 0.0000 0.0000  4 Np 2.43, 2 U 2.43
N 0.2031 0.4006 0.6037  1 U 2.41, 5 Np 2.43-2.45
N 0.4006 0.7969 0.1976  1 U 2.41, 5 Np 2.43-2.45
N 0.5994 0.2031 0.8024  1 U 2.41, 5 Np 2.43-2.45
N 0.7969 0.5994 0.3963  1 U 2.41, 5 Np 2.43-2.45

Entry 15:
Material: ScInHg2
Method: DFT, PBE
State: relaxed

## Properties
As for the energy of formation: -21.21 kJ per mole of atoms.

abc: 5.3860 5.3860 5.3860
angles: 129.69 129.69 73.90
Last column: nearest neighbours and their distance in Å.
Fractional positions:
Sc 0.0000 0.0000 0.0000  8 Hg 3.14, 4 In 3.24
In 0.5000 0.5000 0.0000  8 Hg 3.14, 4 Sc 3.24
Hg 0.2500 0.7500 0.5000  4 In 3.14, 4 Sc 3.14, 4 Hg 3.24
Hg 0.7500 0.2500 0.5000  4 In 3.14, 4 Sc 3.14, 4 Hg 3.24

Entry 16:
Material: Pm2PuCuTe5
Method: DFT, PBE
State: relaxed

## Properties
For the uncorrected formation energy, the calculation gives -1062 meV per atom.

abc: 9.7837 9.7837 12.9795
angles: 90.00 90.00 154.52
Last column: nearest neighbours and their distance in Å.
Fractional positions:
Pm 0.1087 0.8913 0.5000  8 Te 3.27-3.44
Pm 0.1231 0.8769 0.1223  7 Te 3.20-3.48
Pm 0.8769 0.1231 0.6223  7 Te 3.20-3.48
Pm 0.8913 0.1087 0.0000  8 Te 3.27-3.44
Pu 0.1959 0.8041 0.8241  6 Te 3.01-3.14, 2 Cu 3.28
Pu 0.8041 0.1959 0.3241  6 Te 3.01-3.14, 2 Cu 3.28
Cu 0.4289 0.5711 0.2754  4 Te 2.61-2.67
Cu 0.5711 0.4289 0.7754  4 Te 2.61-2.67
Te 0.0433 0.9567 0.8814  2 Cu 2.61
Te 0.2888 0.7112 0.4910  2 Pu 3.07, 3 Pm 3.22-3.44
Te 0.3150 0.6850 0.1558  1 Cu 2.67
Te 0.3603 0.6397 0.8155  1 Pu 3.14, 4 Pm 3.28-3.32
Te 0.4999 0.5001 0.1020  1 Cu 2.63
Te 0.5001 0.4999 0.6020  1 Cu 2.63
Te 0.6397 0.3603 0.3155  1 Pu 3.14, 4 Pm 3.28-3.32
Te 0.6850 0.3150 0.6558  1 Cu 2.67
Te 0.7112 0.2888 0.9910  2 Pu 3.07, 3 Pm 3.22-3.44
Te 0.9567 0.0433 0.3814  2 Cu 2.61

Entry 17:
Material: Th7Tc2Pt2
Method: DFT, PBE
State: relaxed

## Properties
As for the energy of formation: -47.31 kJ per mole of atoms.

abc: 9.3198 9.3198 9.3198
angles: 155.35 67.47 118.32
Last column: nearest neighbours and their distance in Å.
Fractional positions:
Th 0.0000 0.0000 0.0000  3 Pt 3.04-3.29
Th 0.0870 0.4008 0.6861  2 Tc 2.83
Th 0.1303 0.7636 0.3668  2 Pt 2.97, 2 Tc 3.13
Th 0.3968 0.7636 0.6332  2 Pt 2.97, 2 Tc 3.13
Th 0.4964 0.6149 0.8815  2 Tc 2.91, 3 Pt 3.04-3.17
Th 0.7147 0.4008 0.3139  2 Tc 2.83
Th 0.7334 0.6149 0.1185  2 Tc 2.91, 3 Pt 3.04-3.17
Tc 0.3331 0.0876 0.2455  6 Th 2.83-3.13
Tc 0.8421 0.0876 0.7545  6 Th 2.83-3.13
Pt 0.3441 0.3441 0.0000  7 Th 2.97-3.29
Pt 0.7597 0.2597 0.5000  8 Th 3.04-3.19

Entry 18:
Material: FeRhS
Method: DFT, PBE
State: relaxed

## Properties
For the relative energy among the computed polymorphs, the calculation gives 168 meV/atom. For the uncorrected formation energy, the calculation gives -32 meV per atom.

abc: 5.1048 5.1048 5.1048
angles: 35.78 35.78 35.78
Last column: nearest neighbours and their distance in Å.
Fractional positions:
Fe 0.0000 0.0000 0.0000  3 S 2.18
Rh 0.1875 0.1875 0.1875  3 S 2.34
S 0.7511 0.7511 0.7511  3 Fe 2.18, 3 Rh 2.34

Entry 19:
Material: RuPt5Rh4
Method: DFT, PBE
State: relaxed

## Properties
As for the energy of formation: -1.64 kJ per mole of atoms.

abc: 2.7607 2.7607 19.4958
angles: 90.00 90.00 90.00
Last column: nearest neighbours and their distance in Å.
Fractional positions:
Ru 0.0000 0.0000 0.0000  8 Pt 2.73, 4 Ru 2.76
Pt 0.5000 0.5000 0.0979  4 Ru 2.73, 4 Pt 2.76, 4 Rh 2.78
Pt 0.5000 0.5000 0.2998  8 Rh 2.76, 4 Pt 2.76
Pt 0.5000 0.5000 0.5000  4 Pt 2.76, 8 Rh 2.76
Pt 0.5000 0.5000 0.7002  8 Rh 2.76, 4 Pt 2.76
Pt 0.5000 0.5000 0.9021  4 Ru 2.73, 4 Pt 2.76, 4 Rh 2.78
Rh 0.0000 0.0000 0.1997  8 Pt 2.76-2.78, 4 Rh 2.76
Rh 0.0000 0.0000 0.3998  8 Pt 2.76, 4 Rh 2.76
Rh 0.0000 0.0000 0.6002  8 Pt 2.76, 4 Rh 2.76
Rh 0.0000 0.0000 0.8003  8 Pt 2.76-2.78, 4 Rh 2.76

Across the entries above, energy takes the values -3.775, -4.624, -5.279, -5.640, -4.093, -6.597, -5.826, -6.445, -9.517, -4.665, -3.015, -3.654, -3.940, -11.624, -2.638, -5.911, -8.195, -6.679, -6.906 eV/atom, respectively.